Entry from Alexandria: a relaxed structure of KTc2Br (PBE).

## Properties
Excess energy over the best structure of this formula in the dataset   0.5609 eV per atom
Formation energy (no corrections)   781 meV per atom

Unit cell a=3.4521 b=6.6439 c=4.9115 alpha=90.00 beta=91.44 gamma=90.00
Space group P2/m (No. 10)
Inequivalent atoms, fractional coordinates:
K 0.0000 0.0000 0.0000 x1
Tc 0.2593 0.5000 0.1499 x2
Br 0.5000 0.0000 0.5000 x1

Entry from Alexandria: a relaxed structure of KTc2Br (PBE).

## Properties
Excess energy over the best structure of this formula in the dataset   0.4306 eV per atom
Formation energy (no corrections)   651 meV per atom

Unit cell a=12.4454 b=3.3543 c=5.5720 alpha=90.00 beta=111.18 gamma=90.00
Space group C2/m (No. 12)
Inequivalent atoms, fractional coordinates:
K 0.0000 0.0000 0.0000 x2
Tc 0.2128 0.0000 0.5829 x4
Br 0.0000 0.5000 0.5000 x2

Entry from Alexandria: a relaxed structure of KTc2Br (PBE).

## Properties
Excess energy over the best structure of this formula in the dataset   0.8090 eV per atom
Formation energy (no corrections)   1029 meV per atom

Unit cell a=3.2709 b=4.3597 c=6.7421 alpha=90.00 beta=90.00 gamma=90.00
Space group Pmmm (No. 47)
Inequivalent atoms, fractional coordinates:
K 0.0000 0.0000 0.0000 x1
Tc 0.0000 0.5000 0.5000 x1
Tc 0.5000 0.0000 0.5000 x1
Br 0.5000 0.5000 0.0000 x1

Entry from Alexandria: a relaxed structure of KTc2Br (PBE).

## Properties
Excess energy over the best structure of this formula in the dataset   0.0988 eV per atom
Formation energy (no corrections)   319 meV per atom

Unit cell a=3.1491 b=3.1491 c=8.6830 alpha=90.00 beta=90.00 gamma=90.00
Space group P4mm (No. 99)
Inequivalent atoms, fractional coordinates:
K 0.0000 0.0000 0.0000 x1
Tc 0.0000 0.0000 0.4804 x1
Tc 0.5000 0.5000 0.3361 x1
Br 0.5000 0.5000 0.7375 x1